Computed, not measured: PaCr2BO8 after structural relaxation at the PBE with a Hubbard U level of DFT.

- E_tot (eV/atom) = -7.579

Cell lengths 5.6044, 5.6044, 5.3134 Å; angles 90.00, 90.00, 120.00 degrees
Last column: nearest neighbours and their distance in Å.
Space group P-3m1 (No. 164)
Unique sites:
Pa 0.0000 0.0000 0.0000 (multiplicity 1)  6 O 2.18
Cr 0.3333 0.6667 0.5552 (multiplicity 2)  1 O 1.62
B 0.0000 0.0000 0.5000 (multiplicity 1)  6 O 1.77
O 0.1490 0.2980 0.6922 (multiplicity 6)  1 B 1.77, 1 Cr 1.93
O 0.3333 0.6667 0.2494 (multiplicity 2)  1 Cr 1.62